1.
The following is a DFT calculation (GGA-PBE) of Pu2SCl after structural relaxation.

M_tot ... 11.813 μB/cell
Relative energy among the computed polymorphs ... 0.00 eV/f.u.
DOS(E_F) ... 3.90 states/eV/atom
SG ... No. 166
Energy relative to the elements, uncorrected ... -1.43 eV/atom

a b c (Å): 3.983 3.983 6.877
angles (deg): 73.17 73.17 60.00
Site moments in Bohr magnetons follow the coordinates.
Fractional positions:
Cl: 0.500 0.500 0.500  -0.07
Pu: 0.254 0.254 0.238  5.55
Pu: 0.746 0.746 0.762  5.55
S: 0.000 0.000 0.000  -0.12

2.
The following is a DFT calculation (GGA-PBE) of CaNd2Te after structural relaxation.

M_tot ... 0.000 μB/cell
DOS(E_F) ... 1.44 states/eV/atom
SG ... No. 166
Energy relative to the elements, uncorrected ... -0.38 eV/atom

a b c (Å): 4.044 4.044 11.429
angles (deg): 79.81 79.81 60.00
Fractional positions:
Ca: 0.000 0.000 0.000
Nd: 0.894 0.894 0.319
Te: 0.500 0.500 0.500
Nd: 0.106 0.106 0.681

no.,electronic total energy (eV per atom)
1,-10.090
2,-4.052